DFT (PBE) results for a relaxed structure of Tb2BeZn.

Output
D(E_F) (states/eV/f.u.): 4.0
Uncorrected energy (eV/atom): -2.945
Energy relative to the elements (kcal/mol of atoms): 14.3

Lattice parameters (Å, degrees): 3.3277 3.3277 31.6385 90.00 90.00 120.00
Space group R-3m (No. 166, hexagonal axes)
Inequivalent atoms, fractional coordinates:
1 Tb 0.0000 0.0000 0.0928
2 Be 0.0000 0.0000 0.0000
3 Zn 0.0000 0.0000 0.5000